PaMo4O12 after structural relaxation, computed with GGA+U.

a = 6.7486 Å, b = 6.7486 Å, c = 6.7486 Å
α = 107.84°, β = 107.84°, γ = 112.78°
Atoms (fractional coordinates):
Pa 0.0000 0.0000 0.0000
Mo 0.0000 0.0000 0.5000
Mo 0.0000 0.5000 0.0000
Mo 0.5000 0.0000 0.0000
Mo 0.5000 0.5000 0.5000
O 0.0471 0.8146 0.2325
O 0.1854 0.4179 0.2325
O 0.1854 0.9529 0.7675
O 0.2943 0.2943 0.5886
O 0.2943 0.7057 0.0000
O 0.4179 0.1854 0.2325
O 0.5821 0.8146 0.7675
O 0.7057 0.2943 0.0000
O 0.7057 0.7057 0.4114
O 0.8146 0.0471 0.2325
O 0.8146 0.5821 0.7675
O 0.9529 0.1854 0.7675

Results
**Space group**: No. 139
**Total DFT energy (no corrections)**: -7.70 eV per atom
**Calculated volume**: 236.0 Å³ per cell